No. 1
Compound: Co2SiO4
Source: the Alexandria database
Functional: PBEsol
Structure: relaxed Values from VASP.

```
&SYSTEM
  ibrav = 0, nat = 28, ntyp = 3
/
ATOMIC_SPECIES
O 16.00 O.upf
Co 58.93 Co.upf
Si 28.09 Si.upf
CELL_PARAMETERS angstrom
-0.555 0.849 4.748
-4.176 -4.041 0.235
6.830 -6.941 2.040
ATOMIC_POSITIONS angstrom
O -0.477 -5.652 2.274
O 3.117 -7.312 5.226
O 5.214 -7.286 3.343
O -0.856 -0.983 3.877
O 2.436 -6.348 2.491
O -1.017 -2.819 1.797
O 1.841 -3.881 1.961
O 0.259 -6.251 5.062
O 2.955 -9.149 3.146
O -3.114 -2.845 3.680
O 2.577 -4.480 4.749
O -2.215 -5.601 4.637
O -0.337 -3.784 4.532
O 1.238 -9.130 5.332
O 0.861 -1.002 1.691
O 4.315 -4.531 2.386
Co 1.894 -8.136 1.697
Co 0.206 -1.996 5.326
Co 1.050 -5.066 3.511
Co -2.088 -2.020 0.117
Co -1.794 -4.248 3.012
Co 0.000 0.000 0.000
Co 3.894 -5.884 4.011
Co 3.138 -3.046 3.394
Si -0.656 -1.282 2.281
Si 2.756 -8.850 4.742
Si 2.957 -5.056 1.604
Si -0.858 -5.076 5.419
```

Properties
**Energy above the lowest structure with this stoichiometry**: 58.7 meV per atom
**E_form (uncorrected)**: -143.06 kJ/mol of atoms

No. 2
Compound: Hf2NbTl
Source: the Alexandria database
Functional: PBEsol
Structure: relaxed Values from VASP.

```
&SYSTEM
  ibrav = 0, nat = 4, ntyp = 3
/
ATOMIC_SPECIES
Nb 92.91 Nb.upf
Tl 204.38 Tl.upf
Hf 178.49 Hf.upf
CELL_PARAMETERS angstrom
3.504 0.000 0.000
0.000 3.504 0.000
0.000 0.000 6.665
ATOMIC_POSITIONS angstrom
Nb 1.752 1.752 0.000
Tl 1.752 1.752 3.332
Hf 0.000 0.000 1.528
Hf 0.000 0.000 5.137
```

Properties
**ΔE_f**: -65.9 meV/atom

No. 3
Compound: SrCrSi2P
Source: the Alexandria database
Functional: PBEsol
Structure: relaxed Values from VASP.

```
&SYSTEM
  ibrav = 0, nat = 5, ntyp = 4
/
ATOMIC_SPECIES
Cr 52.00 Cr.upf
Si 28.09 Si.upf
Sr 87.62 Sr.upf
P 30.97 P.upf
CELL_PARAMETERS angstrom
-1.198 -4.328 0.115
0.638 -0.059 4.446
-5.354 1.503 0.789
ATOMIC_POSITIONS angstrom
Cr 0.000 0.000 0.000
Si 0.319 -0.029 2.223
Si -0.599 -2.164 0.057
Sr -2.677 0.751 0.394
P -2.957 -1.442 2.675
```

Properties
**E_form (uncorrected)**: 47.74 kJ/mol of atoms

No. 4
Compound: TlSb2
Source: the Alexandria database
Functional: PBEsol
Structure: relaxed Values from VASP.

```
&SYSTEM
  ibrav = 0, nat = 6, ntyp = 2
/
ATOMIC_SPECIES
Tl 204.38 Tl.upf
Sb 121.76 Sb.upf
CELL_PARAMETERS angstrom
4.139 0.000 0.000
0.000 4.329 0.000
0.000 2.165 10.199
ATOMIC_POSITIONS angstrom
Tl 3.105 4.329 2.357
Tl 1.035 2.165 7.842
Sb 3.105 2.165 4.810
Sb 1.035 4.329 5.389
Sb 3.105 4.329 9.215
Sb 1.035 2.165 0.984
```

Properties
**E_form (uncorrected)**: 8.98 kJ/mol of atoms

No. 5
Compound: Zn2FeRh
Source: the Alexandria database
Functional: PBEsol
Structure: relaxed Values from VASP.

```
&SYSTEM
  ibrav = 0, nat = 4, ntyp = 3
/
ATOMIC_SPECIES
Fe 55.84 Fe.upf
Zn 65.41 Zn.upf
Rh 102.91 Rh.upf
CELL_PARAMETERS angstrom
-1.774 -2.448 2.382
1.289 -2.966 -2.087
3.082 2.559 1.815
ATOMIC_POSITIONS angstrom
Fe -0.243 -2.707 0.147
Zn 0.533 -1.298 2.172
Zn 2.064 -1.557 -0.062
Rh 0.000 0.000 0.000
```

Properties
**ΔE_f**: -115.4 meV/atom

No. 6
Compound: FeAgSb2
Source: the Alexandria database
Functional: PBEsol
Structure: relaxed Values from VASP.

```
&SYSTEM
  ibrav = 0, nat = 4, ntyp = 3
/
ATOMIC_SPECIES
Sb 121.76 Sb.upf
Ag 107.87 Ag.upf
Fe 55.84 Fe.upf
CELL_PARAMETERS angstrom
3.551 0.000 0.000
0.000 4.654 0.067
0.000 -0.062 4.654
ATOMIC_POSITIONS angstrom
Sb 0.000 2.327 0.034
Sb 0.000 -0.031 2.327
Ag 1.775 0.000 0.000
Fe 1.775 2.296 2.361
```

Properties
**Energy above the lowest structure with this stoichiometry**: 236.6 meV per atom
**E_form (uncorrected)**: 37.07 kJ/mol of atoms

No. 7
Compound: TaTeW2
Source: the Alexandria database
Functional: PBEsol
Structure: relaxed Values from VASP.

```
&SYSTEM
  ibrav = 0, nat = 4, ntyp = 3
/
ATOMIC_SPECIES
W 183.84 W.upf
Ta 180.95 Ta.upf
Te 127.60 Te.upf
CELL_PARAMETERS angstrom
3.240 0.000 0.000
0.000 4.660 -0.054
-1.620 -1.449 4.643
ATOMIC_POSITIONS angstrom
W 0.000 2.959 2.402
W 1.620 3.014 4.484
Ta 1.620 2.221 -0.009
Te 1.620 0.556 2.274
```

Properties
**E_form (uncorrected)**: 44.72 kJ/mol of atoms

No. 8
Compound: YFeRh2
Source: the Alexandria database
Functional: PBEsol
Structure: relaxed Values from VASP.

```
&SYSTEM
  ibrav = 0, nat = 4, ntyp = 3
/
ATOMIC_SPECIES
Rh 102.91 Rh.upf
Y 88.91 Y.upf
Fe 55.84 Fe.upf
CELL_PARAMETERS angstrom
3.173 0.000 0.000
0.000 3.173 0.000
0.000 0.000 6.329
ATOMIC_POSITIONS angstrom
Rh 0.000 0.000 1.814
Rh 0.000 0.000 4.515
Y 1.586 1.586 0.000
Fe 1.586 1.586 3.164
```

Properties
**ΔE_f**: -258.2 meV/atom

No. 9
Compound: MgZn2In
Source: the Alexandria database
Functional: PBEsol
Structure: relaxed Values from VASP.

```
&SYSTEM
  ibrav = 0, nat = 4, ntyp = 3
/
ATOMIC_SPECIES
Zn 65.41 Zn.upf
In 114.82 In.upf
Mg 24.30 Mg.upf
CELL_PARAMETERS angstrom
4.087 0.000 0.000
0.000 4.215 0.000
0.000 0.000 4.215
ATOMIC_POSITIONS angstrom
Zn 0.000 2.107 0.000
Zn 0.000 0.000 2.107
In 2.043 2.107 2.107
Mg 2.043 0.000 0.000
```

Properties
**ΔE_f**: -10.7 meV/atom

No. 10
Compound: CsZr3Tl
Source: the Alexandria database
Functional: PBEsol
Structure: relaxed Values from VASP.

```
&SYSTEM
  ibrav = 0, nat = 5, ntyp = 3
/
ATOMIC_SPECIES
Cs 132.91 Cs.upf
Zr 91.22 Zr.upf
Tl 204.38 Tl.upf
CELL_PARAMETERS angstrom
5.189 0.000 0.000
0.000 5.189 0.000
0.000 0.000 5.189
ATOMIC_POSITIONS angstrom
Cs 0.000 0.000 0.000
Zr 0.000 2.594 0.000
Zr 0.000 0.000 2.594
Zr 2.594 0.000 0.000
Tl 2.594 2.594 2.594
```

Properties
**Energy above the lowest structure with this stoichiometry**: 430.1 meV per atom
**ΔE_f**: 1766.7 meV/atom

No. 11
Compound: RbTl2Hg2
Source: the Alexandria database
Functional: PBEsol
Structure: relaxed Values from VASP.

```
&SYSTEM
  ibrav = 0, nat = 5, ntyp = 3
/
ATOMIC_SPECIES
Rb 85.47 Rb.upf
Hg 200.59 Hg.upf
Tl 204.38 Tl.upf
CELL_PARAMETERS angstrom
5.508 0.000 0.000
0.000 5.508 0.000
-2.754 -2.754 5.398
ATOMIC_POSITIONS angstrom
Rb 0.000 0.000 0.000
Hg 0.000 2.754 2.699
Hg 2.754 0.000 2.699
Tl 0.000 0.000 3.891
Tl 2.754 2.754 1.507
```

Properties
**Energy above the lowest structure with this stoichiometry**: 0.0 meV per atom
**ΔE_f**: -112.2 meV/atom

No. 12
Compound: Eu2CdSn
Source: the Alexandria database
Functional: PBEsol
Structure: relaxed Values from VASP.

```
&SYSTEM
  ibrav = 0, nat = 4, ntyp = 3
/
ATOMIC_SPECIES
Eu 151.96 Eu.upf
Cd 112.41 Cd.upf
Sn 118.71 Sn.upf
CELL_PARAMETERS angstrom
-1.653 1.447 -4.965
2.869 -1.496 -4.359
-1.979 -3.741 -3.399
ATOMIC_POSITIONS angstrom
Eu -0.572 -2.843 -9.542
Eu -0.191 -0.948 -3.181
Cd -0.381 -1.895 -6.362
Sn 0.000 0.000 0.000
```

Properties
**ΔE_f**: -601.5 meV/atom

Number 1: raw total energy -210.4 eV/cell, total magnetic moment 24.1 Bohr magnetons per cell. Number 2: raw total energy -34.7 eV/cell, total magnetic moment 0.0 Bohr magnetons per cell. Number 3: raw total energy -26.9 eV/cell, total magnetic moment 3.0 Bohr magnetons per cell. Number 4: raw total energy -22.9 eV/cell, total magnetic moment 0.0 Bohr magnetons per cell. Number 5: raw total energy -20.7 eV/cell, total magnetic moment 2.8 Bohr magnetons per cell. Number 6: raw total energy -19.9 eV/cell, total magnetic moment 2.2 Bohr magnetons per cell. Number 7: raw total energy -41.8 eV/cell, total magnetic moment 0.0 Bohr magnetons per cell. Number 8: raw total energy -33.1 eV/cell, total magnetic moment 4.0 Bohr magnetons per cell. Number 9: raw total energy -7.9 eV/cell, total magnetic moment 0.0 Bohr magnetons per cell. Number 10: raw total energy -22.0 eV/cell, total magnetic moment 1.1 Bohr magnetons per cell. Number 11: raw total energy -8.0 eV/cell, total magnetic moment 0.0 Bohr magnetons per cell. Number 12: raw total energy -29.0 eV/cell, total magnetic moment 14.1 Bohr magnetons per cell.